! PBE Ca2EuV, optimized geometry; values from VASP
&SYSTEM
  ibrav = 0, nat = 4, ntyp = 3
/
ATOMIC_SPECIES
Ca 40.08 Ca.upf
Eu 151.96 Eu.upf
V 50.94 V.upf
CELL_PARAMETERS angstrom
1.8489 1.0674 11.4137
-1.8489 1.0674 11.4137
0.0000 -2.1349 11.4137
ATOMIC_POSITIONS crystal
Ca 0.2364 0.2364 0.2364
Ca 0.7636 0.7636 0.7636
Eu 0.0000 0.0000 0.0000
V 0.5000 0.5000 0.5000
! formation energy	533	meV per atom
! uncorrected energy	-21.27	eV per formula unit